(1)
Material: BaCrCdH6
Method: DFT, GGA-PBE
State: optimized geometry

Lattice parameters (Å, degrees): 4.916 4.915 5.085 90.00 90.00 59.95
Each line ends with the local moment (μB).
Atoms (fractional coordinates):
Ba  0.000  0.000  0.000  0.01
Cd  0.667  0.667  0.500  -0.01
H  0.472  0.473  0.742  -0.01
H  0.055  0.473  0.743  -0.01
Cr  0.333  0.333  0.500  2.05
H  0.473  0.055  0.257  -0.01
H  0.472  0.473  0.258  -0.01
H  0.473  0.055  0.743  -0.01
H  0.055  0.472  0.257  -0.01

Values from the calculation:
The final energy comes out at -3.769 eV per atom.


(2)
Material: Ba2CrCdHg
Method: DFT, GGA-PBE
State: optimized geometry

Lattice parameters (Å, degrees): 5.761 5.199 5.761 90.00 90.00 90.00
Atoms (fractional coordinates):
Cd  0.000  0.500  0.000
Ba  0.500  0.000  0.000
Ba  0.000  0.000  0.500
Hg  0.500  0.500  0.500
Cr  0.000  0.000  0.000

Values from the calculation:
For the formation enthalpy at 0 K, the calculation gives 506.0 meV/atom.